Y3P4Rh13: optimized geometry, PBEsol.

Cell lengths 8.547, 8.547, 8.547 Å; angles 90.00, 90.00, 90.00 degrees
Positions (direct):
Y 0.000 0.250 0.500
Y 0.000 0.750 0.500
Y 0.250 0.500 0.000
Y 0.500 0.000 0.250
Y 0.500 0.000 0.750
Y 0.750 0.500 0.000
P 0.250 0.250 0.250
P 0.250 0.250 0.750
P 0.250 0.750 0.250
P 0.250 0.750 0.750
P 0.750 0.250 0.250
P 0.750 0.250 0.750
P 0.750 0.750 0.250
P 0.750 0.750 0.750
Rh 0.000 0.000 0.000
Rh 0.000 0.271 0.157
Rh 0.000 0.271 0.843
Rh 0.000 0.729 0.157
Rh 0.000 0.729 0.843
Rh 0.157 0.000 0.271
Rh 0.157 0.000 0.729
Rh 0.229 0.500 0.343
Rh 0.229 0.500 0.657
Rh 0.271 0.157 0.000
Rh 0.271 0.843 0.000
Rh 0.343 0.229 0.500
Rh 0.343 0.771 0.500
Rh 0.500 0.343 0.229
Rh 0.500 0.343 0.771
Rh 0.500 0.500 0.500
Rh 0.500 0.657 0.229
Rh 0.500 0.657 0.771
Rh 0.657 0.229 0.500
Rh 0.657 0.771 0.500
Rh 0.729 0.157 0.000
Rh 0.729 0.843 0.000
Rh 0.771 0.500 0.343
Rh 0.771 0.500 0.657
Rh 0.843 0.000 0.271
Rh 0.843 0.000 0.729

Results
The symmetry is Pm-3n. The formation energy from the elements comes out at -0.72 eV per atom. The calculation puts the density at 9.19 Mg/m³. For the total energy, the calculation gives -163.77 eV per formula unit.